Computed, not measured: an optimized crystal structure of CaMg6NiO8 at the PBE+U level of DFT.

abc: 4.361 4.361 8.625
angles: 90.00 90.00 90.00
Positions (direct):
Ca 0.000 0.000 0.000
Mg 0.000 0.000 0.500
Mg 0.000 0.500 0.255
Mg 0.000 0.500 0.745
Mg 0.500 0.000 0.255
Mg 0.500 0.000 0.745
Mg 0.500 0.500 0.500
Ni 0.500 0.500 0.000
O 0.000 0.000 0.265
O 0.000 0.000 0.735
O 0.000 0.500 0.000
O 0.000 0.500 0.500
O 0.500 0.000 0.000
O 0.500 0.000 0.500
O 0.500 0.500 0.250
O 0.500 0.500 0.750

Properties
Mass density: 3.8 g/cm³
Symmetry: No. 123
Electronic total energy: -5.833 eV/atom